A relaxed K2BaN crystal, computed with PBE.

Output
Energy relative to the elements, uncorrected, eV/atom: 0.756
DFT total energy, eV/atom: -2.35

Cell and atoms, written as extended XYZ:
```
16
Lattice="8.4715 0.0000 0.0000 0.0000 8.4715 0.0000 0.0000 0.0000 12.0186" Properties=species:S:1:pos:R:3 pbc="T T T"
K 0.0259 2.1179 1.5023
K 2.1179 4.2616 4.5070
K 2.1179 8.4457 10.5162
K 4.2099 2.1179 7.5116
K 4.2616 6.3537 7.5116
K 6.3537 0.0259 10.5162
K 6.3537 4.2099 4.5070
K 8.4457 6.3537 1.5023
Ba 0.0000 0.0000 6.0093
Ba 0.0000 4.2358 9.0139
Ba 4.2358 0.0000 3.0046
Ba 4.2358 4.2358 0.0000
N 0.0000 0.0000 0.0000
N 0.0000 4.2358 3.0046
N 4.2358 0.0000 9.0139
N 4.2358 4.2358 6.0093
```

A relaxed KBa7N2 crystal, computed with PBE.

Output
Energy relative to the elements, uncorrected, eV/atom: -0.151
DFT total energy, eV/atom: -3.27

Cell and atoms, written as extended XYZ:
```
10
Lattice="5.4345 -10.1033 0.0000 5.4345 10.1033 0.0000 0.0000 0.0000 4.6081" Properties=species:S:1:pos:R:3 pbc="T T T"
K 0.0000 0.0000 0.0000
Ba 2.8165 2.7076 2.3041
Ba 5.4345 4.2892 0.0000
Ba 2.8165 -2.7076 2.3041
Ba 5.4345 0.0000 2.3041
Ba 8.0525 2.7076 2.3041
Ba 5.4345 -4.2892 0.0000
Ba 8.0525 -2.7076 2.3041
N 5.4345 2.8351 2.3041
N 5.4345 -2.8351 2.3041
```

A relaxed K3BaN crystal, computed with PBE.

Output
Energy relative to the elements, uncorrected, eV/atom: 0.634
Excess energy over the best structure of this formula in the dataset, meV per atom: 0
DFT total energy, eV/atom: -2.07

Cell and atoms, written as extended XYZ:
```
5
Lattice="5.9890 0.0000 0.0000 0.0000 5.9890 0.0000 0.0000 0.0000 5.9890" Properties=species:S:1:pos:R:3 pbc="T T T"
K 0.0000 0.0000 2.9945
K 0.0000 2.9945 0.0000
K 2.9945 0.0000 0.0000
Ba 2.9945 2.9945 2.9945
N 0.0000 0.0000 0.0000
```

A relaxed KBaN crystal, computed with PBE.

Output
Energy relative to the elements, uncorrected, eV/atom: -0.156
DFT total energy, eV/atom: -3.94

Cell and atoms, written as extended XYZ:
```
12
Lattice="8.5767 0.0000 0.0000 0.0000 13.9559 0.0000 -0.0081 0.0000 4.1334" Properties=species:S:1:pos:R:3 pbc="T T T"
K 0.0000 3.3343 0.0000
K 0.0000 10.6216 0.0000
K 4.2884 3.6437 0.0000
K 4.2884 10.3123 0.0000
Ba 1.7350 0.0000 2.0699
Ba 2.5453 6.9780 2.0635
Ba 6.0233 6.9780 2.0699
Ba 6.8336 0.0000 2.0635
N 0.0000 0.6706 0.0000
N 0.0000 13.2853 0.0000
N 4.2884 6.3074 0.0000
N 4.2884 7.6485 0.0000
```

A relaxed KBaN crystal, computed with PBE.

Output
Energy relative to the elements, uncorrected, eV/atom: -0.010
DFT total energy, eV/atom: -3.79

Cell and atoms, written as extended XYZ:
```
6
Lattice="4.2540 0.0000 0.0000 0.0000 5.4862 0.0000 0.0000 0.0000 9.5013" Properties=species:S:1:pos:R:3 pbc="T T T"
K 1.0635 1.3716 1.8175
K 3.1905 4.1147 7.6839
Ba 1.0635 1.3716 5.5699
Ba 3.1905 4.1147 3.9314
N 1.0635 4.1147 5.6450
N 3.1905 1.3716 3.8563
```

A relaxed KBaN crystal, computed with PBE.

Output
Energy relative to the elements, uncorrected, eV/atom: 0.008
DFT total energy, eV/atom: -3.77

Cell and atoms, written as extended XYZ:
```
12
Lattice="7.1642 0.0000 0.0000 0.0000 4.1343 0.0000 -2.0745 0.0000 15.0874" Properties=species:S:1:pos:R:3 pbc="T T T"
K -0.0157 0.0000 5.0740
K 1.5232 2.0672 10.0134
K 3.5664 2.0672 5.0740
K 5.1053 0.0000 10.0134
Ba 1.1793 2.0672 2.2799
Ba 0.3282 0.0000 12.8075
Ba 4.7614 0.0000 2.2799
Ba 3.9103 2.0672 12.8075
N -0.8656 2.0672 11.6817
N 2.3732 0.0000 3.4057
N 2.7165 0.0000 11.6817
N 5.9553 2.0672 3.4057
```

A relaxed KBa4N crystal, computed with PBE.

Output
Energy relative to the elements, uncorrected, eV/atom: -0.157
DFT total energy, eV/atom: -3.01

Cell and atoms, written as extended XYZ:
```
24
Lattice="13.7415 0.0000 0.0000 0.0000 9.1546 0.0000 0.0000 0.0000 11.6510" Properties=species:S:1:pos:R:3 pbc="T T T"
K 2.4061 2.2886 2.1778
K 4.4647 6.8659 8.0034
K 9.2769 2.2886 3.6477
K 11.3354 6.8659 9.4732
Ba 1.0241 6.8659 5.0781
Ba 1.0394 0.2810 9.5235
Ba 1.0394 4.2963 9.5235
Ba 3.1457 2.2886 6.6684
Ba 3.7251 6.8659 0.8429
Ba 5.8313 4.8583 3.6980
Ba 5.8313 8.8735 3.6980
Ba 5.8466 2.2886 10.9036
Ba 7.8949 6.8659 0.7475
Ba 7.9102 0.2810 7.9531
Ba 7.9102 4.2963 7.9531
Ba 10.0164 2.2886 10.8082
Ba 10.5959 6.8659 4.9827
Ba 12.7021 4.8583 2.1276
Ba 12.7021 8.8735 2.1276
Ba 12.7174 2.2886 6.5730
N 1.0470 2.2886 8.0338
N 5.8237 6.8659 2.2082
N 7.9178 2.2886 9.4428
N 12.6945 6.8659 3.6173
```

A relaxed KBa3N crystal, computed with PBE.

Output
Energy relative to the elements, uncorrected, eV/atom: -0.209
DFT total energy, eV/atom: -3.25

Cell and atoms, written as extended XYZ:
```
10
Lattice="8.1408 0.0000 0.0000 4.0021 8.0075 0.0000 0.1156 2.8203 9.0924" Properties=species:S:1:pos:R:3 pbc="T T T"
K 2.6099 3.1150 4.0198
K 9.6485 7.7129 5.0726
Ba 3.1576 4.7646 8.4038
Ba 5.5271 6.7031 2.5375
Ba 5.6855 8.0183 7.7010
Ba 6.5729 2.8095 1.3913
Ba 6.7313 4.1247 6.5549
Ba 9.1008 6.0633 0.6886
N 5.5040 5.4660 8.1927
N 6.7544 5.3618 0.8997
```

A relaxed KBa3N crystal, computed with PBE.

Output
Energy relative to the elements, uncorrected, eV/atom: -0.155
DFT total energy, eV/atom: -3.19

Cell and atoms, written as extended XYZ:
```
10
Lattice="4.1076 0.0000 0.0000 0.0000 11.4118 0.0000 -1.9949 0.0000 10.4453" Properties=species:S:1:pos:R:3 pbc="T T T"
K 0.0391 2.8529 5.0653
K 2.0737 8.5588 5.3801
Ba 0.0008 6.1082 1.8162
Ba 0.0008 11.0095 1.8162
Ba 0.0583 8.5588 9.7943
Ba 2.0544 2.8529 0.6510
Ba 2.1119 0.4023 8.6291
Ba 2.1119 5.3036 8.6291
N 2.0538 0.0000 0.0000
N 2.0538 5.7059 0.0000
```

A relaxed K3BaN crystal, computed with PBE.

Output
Energy relative to the elements, uncorrected, eV/atom: 1.440
Excess energy over the best structure of this formula in the dataset, meV per atom: 806
DFT total energy, eV/atom: -1.27

Cell and atoms, written as extended XYZ:
```
5
Lattice="8.5617 0.0000 0.0000 0.0000 8.5617 0.0000 0.0000 0.0000 8.5617" Properties=species:S:1:pos:R:3 pbc="T T T"
K 0.0000 0.0000 4.2809
K 0.0000 4.2809 0.0000
K 4.2809 0.0000 0.0000
Ba 0.0000 0.0000 0.0000
N 4.2809 4.2809 4.2809
```

A relaxed K3Ba12N5 crystal, computed with PBE.

Output
Energy relative to the elements, uncorrected, eV/atom: -0.009
DFT total energy, eV/atom: -3.41

Cell and atoms, written as extended XYZ:
```
80
Lattice="-9.5824 9.5824 9.5824 9.5824 -9.5824 9.5824 9.5824 9.5824 -9.5824" Properties=species:S:1:pos:R:3 pbc="T T T"
K 4.7912 2.3956 0.0000
K 9.5824 4.7912 -2.3956
K 2.3956 0.0000 4.7912
K 11.9780 0.0000 4.7912
K 0.0000 4.7912 2.3956
K 4.7912 -2.3956 9.5824
K 4.7912 11.9780 0.0000
K 9.5824 4.7912 7.1868
K -2.3956 9.5824 4.7912
K 7.1868 9.5824 4.7912
K 0.0000 4.7912 11.9780
K 4.7912 7.1868 9.5824
Ba 7.5799 -5.4815 5.6626
Ba 16.3762 0.8714 -0.6903
Ba 12.3711 0.8714 0.6903
Ba 11.5850 -4.1009 5.6626
Ba 13.6833 3.9198 -2.0026
Ba 10.2727 -6.7938 8.7110
Ba 5.6626 7.5799 -5.4815
Ba 8.7110 -0.6903 2.7887
Ba 8.7110 10.2727 -6.7938
Ba 5.6626 -2.0026 5.4815
Ba 5.4815 5.6626 -2.0026
Ba 8.8921 2.7887 0.8714
Ba 15.0640 3.9198 2.0026
Ba 8.8921 -2.7887 8.7110
Ba 8.7110 8.8921 -2.7887
Ba 5.6626 2.0026 4.1009
Ba 5.6626 11.5850 -4.1009
Ba 8.7110 0.6903 6.7938
Ba 4.1009 5.6626 2.0026
Ba 10.2727 6.7938 0.8714
Ba 2.7887 8.7110 -0.6903
Ba 11.5850 4.1009 3.9198
Ba 6.7938 8.7110 0.6903
Ba 7.5799 5.4815 3.9198
Ba 2.0026 4.1009 5.6626
Ba 2.7887 0.8714 8.8921
Ba -2.0026 5.4815 5.6626
Ba 6.7938 0.8714 10.2727
Ba -0.6903 2.7887 8.7110
Ba 5.4815 3.9198 7.5799
Ba 0.8714 8.8921 2.7887
Ba 3.9198 -2.0026 13.6833
Ba 3.9198 7.5799 5.4815
Ba 0.8714 0.6903 12.3711
Ba 0.6903 12.3711 0.8714
Ba -5.4815 5.6626 7.5799
Ba 0.6903 6.7938 8.7110
Ba 4.1009 3.9198 11.5850
Ba 3.9198 11.5850 4.1009
Ba 0.8714 -0.6903 16.3762
Ba 0.8714 10.2727 6.7938
Ba 3.9198 2.0026 15.0640
Ba -0.6903 16.3762 0.8714
Ba -4.1009 5.6626 11.5850
Ba -2.0026 13.6833 3.9198
Ba -2.7887 8.7110 8.8921
Ba -6.7938 8.7110 10.2727
Ba 2.0026 15.0640 3.9198
N 0.0000 0.0000 0.0000
N 4.7912 4.7912 -4.7912
N 4.7912 -4.7912 4.7912
N 9.5824 0.0000 0.0000
N 14.3736 2.3956 0.0000
N 9.5824 -4.7912 7.1868
N 7.1868 9.5824 -4.7912
N 7.1868 0.0000 4.7912
N 4.7912 7.1868 0.0000
N 9.5824 4.7912 2.3956
N -4.7912 4.7912 4.7912
N 0.0000 9.5824 0.0000
N 0.0000 0.0000 9.5824
N 4.7912 4.7912 4.7912
N 0.0000 4.7912 7.1868
N 4.7912 2.3956 9.5824
N 2.3956 9.5824 4.7912
N 2.3956 0.0000 14.3736
N 0.0000 14.3736 2.3956
N -4.7912 7.1868 9.5824
```

A relaxed K2Ba4N crystal, computed with PBE.

Output
Energy relative to the elements, uncorrected, eV/atom: -0.055
DFT total energy, eV/atom: -2.66

Cell and atoms, written as extended XYZ:
```
14
Lattice="5.9108 0.0000 0.0000 0.0000 5.9108 0.0000 0.0000 0.0000 22.7524" Properties=species:S:1:pos:R:3 pbc="T T T"
K 0.0000 0.0000 4.0793
K 0.0000 0.0000 18.6731
K 2.9554 2.9554 7.2969
K 2.9554 2.9554 15.4555
Ba 0.0000 0.0000 8.7659
Ba 0.0000 0.0000 13.9865
Ba 0.0000 2.9554 0.0000
Ba 0.0000 2.9554 11.3762
Ba 2.9554 0.0000 0.0000
Ba 2.9554 0.0000 11.3762
Ba 2.9554 2.9554 2.6103
Ba 2.9554 2.9554 20.1421
N 0.0000 0.0000 11.3762
N 2.9554 2.9554 0.0000
```